Here is an optimized crystal structure of Y2Al5PdRu2 from the Alexandria database. Energies are from PBE.

```
Y2Al5PdRu2
1.0
-2.766 -0.555 -1.432
4.895 -0.089 -9.420
1.613 -10.451 0.937
Y Al Pd Ru
4 10 2 4
Direct
0.000 0.687 0.187
0.000 0.313 0.813
0.000 0.187 0.313
0.000 0.813 0.687
0.500 0.195 0.051
0.500 0.805 0.949
0.500 0.051 0.805
0.500 0.695 0.449
0.500 0.949 0.195
0.500 0.305 0.551
0.500 0.551 0.695
0.500 0.449 0.305
0.500 0.500 0.000
0.500 0.000 0.500
0.000 0.000 0.000
0.000 0.500 0.500
0.000 0.127 0.627
0.000 0.873 0.373
0.000 0.627 0.873
0.000 0.373 0.127
```

Output
Energy relative to the elements = -0.531 eV per atom
SG = No. 127



Here is an optimized crystal structure of Mg2Sc3MnS8 from the Alexandria database. Energies are from PBE.

```
Mg2Sc3MnS8
1.0
7.514 0.002 -0.006
3.745 6.464 -0.003
3.769 2.180 6.126
Mg Sc Mn S
2 3 1 8
Direct
0.875 0.875 0.875
0.125 0.125 0.125
0.500 0.500 0.500
0.500 0.500 0.000
0.000 0.500 0.500
0.500 0.000 0.500
0.736 0.752 0.736
0.264 0.248 0.723
0.258 0.726 0.258
0.722 0.247 0.265
0.742 0.274 0.742
0.278 0.753 0.735
0.264 0.248 0.264
0.735 0.752 0.277
```

Output
Formation energy from raw total energies = -1.5100 eV/atom
SG = No. 12



| no. | magnetic moment (μB per formula unit) |
| --- | --- |
| 1 | 0.0 |
| 2 | 4.0 |